# 1
VASP calculation (PBE) on CaPuHgGe after structural relaxation.

The value obtained for the formation energy is -0.3896 eV per atom. Its size of the total moment is 23.78 μB per cell.

It has space group F-43m (No. 216), with a = 7.4175 Å, b = 7.4175 Å, c = 7.4175 Å, α = 90.00°, β = 90.00° and γ = 90.00°. The distinct sites, in fractional coordinates, are Ca at (0.0000, 0.0000, 0.0000), Pu at (0.0000, 0.0000, 0.5000), Hg at (0.2500, 0.2500, 0.7500) and Ge at (0.2500, 0.2500, 0.2500).



# 2
VASP calculation (PBE) on NaGa2CuTe4 after structural relaxation.

The total energy comes out at -53.931 eV for the cell shown. Its size of the total moment is 0.00 μB per cell.

It has space group I-42m (No. 121), with a = 6.2335 Å, b = 6.2335 Å, c = 12.9893 Å, α = 90.00°, β = 90.00° and γ = 90.00°. The distinct sites, in fractional coordinates, are Na at (0.0000, 0.0000, 0.0000), Ga at (0.0000, 0.5000, 0.2500), Cu at (0.0000, 0.0000, 0.5000) and Te at (0.2271, 0.2271, 0.6297).



# 3
VASP calculation (PBE) on CuTc2 after structural relaxation.

The value obtained for the formation energy is 0.2929 eV per atom. Its size of the total moment is 0.00 μB per cell. The relative energy among the computed polymorphs comes out at 0.204 eV/atom.

It has space group I4/mcm (No. 140), with a = 5.9808 Å, b = 5.9808 Å, c = 4.6613 Å, α = 90.00°, β = 90.00° and γ = 90.00°. The distinct sites, in fractional coordinates, are Cu at (0.0000, 0.0000, 0.2500) and Tc at (0.1421, 0.3579, 0.0000).



# 4
VASP calculation (PBE) on Sn4Pd4Pt5 after structural relaxation.

The value obtained for the formation energy is -0.4178 eV per atom. Its size of the total moment is 0.00 μB per cell.

It has space group I4/m (No. 87), with a = 10.4743 Å, b = 10.4743 Å, c = 4.0832 Å, α = 90.00°, β = 90.00° and γ = 90.00°. The distinct sites, in fractional coordinates, are Sn at (0.1208, 0.2404, 0.0000), Pd at (0.0884, 0.6100, 0.0000), Pt at (0.0000, 0.0000, 0.0000) and Pt at (0.0740, 0.8134, 0.5000).



# 5
VASP calculation (PBE) on CaMnBe2 after structural relaxation.

The value obtained for the formation energy is 0.1891 eV per atom. Its size of the total moment is 5.33 μB per cell. The relative energy among the computed polymorphs comes out at 0.017 eV/atom.

It has space group Cm (No. 8), with a = 6.6058 Å, b = 3.8134 Å, c = 5.7185 Å, α = 90.00°, β = 112.56° and γ = 90.00°. The distinct sites, in fractional coordinates, are Ca at (0.0000, 0.0000, 0.0000), Mn at (0.1912, 0.0000, 0.5747), Be at (0.3108, 0.5000, 0.4329) and Be at (0.4827, 0.0000, 0.4486).



# 6
VASP calculation (PBE) on PuMgGa2Pt2 after structural relaxation.

The value obtained for the formation energy is -0.7345 eV per atom. Its size of the total moment is 5.45 μB per cell.

It has space group P-3m1 (No. 164), with a = 4.4149 Å, b = 4.4149 Å, c = 6.6863 Å, α = 90.00°, β = 90.00° and γ = 120.00°. The distinct sites, in fractional coordinates, are Pu at (0.0000, 0.0000, 0.0000), Mg at (0.0000, 0.0000, 0.5000), Ga at (0.3333, 0.6667, 0.7057) and Pt at (0.3333, 0.6667, 0.2823).



# 7
VASP calculation (PBE) on HgTeAs2 after structural relaxation.

Its size of the total moment is 0.00 μB per cell. The relative energy among the computed polymorphs comes out at 0.151 eV/atom.

It has space group Cmm2 (No. 35), with a = 3.6579 Å, b = 5.0832 Å, c = 11.1345 Å, α = 90.00°, β = 90.00° and γ = 90.00°. The distinct sites, in fractional coordinates, are Hg at (0.0000, 0.0000, 0.0000), Te at (0.0000, 0.5000, 0.2862), As at (0.0000, 0.0000, 0.5601) and As at (0.0000, 0.5000, 0.7196).



# 8
VASP calculation (PBE) on SrTiIO6 after structural relaxation.

The total energy comes out at -115.134 eV for the cell shown. Its size of the total moment is 0.00 μB per cell.

It has space group P-31c (No. 163), with a = 5.3198 Å, b = 5.3198 Å, c = 10.8098 Å, α = 90.00°, β = 90.00° and γ = 120.00°. The distinct sites, in fractional coordinates, are Sr at (0.0000, 0.0000, 0.0000), Ti at (0.3333, 0.6667, 0.2500), I at (0.3333, 0.6667, 0.7500) and O at (0.0013, 0.3864, 0.1464).